Record 1
Here is CaNb2HgH at its PBEsol-relaxed geometry from Alexandria. Energies are from SCAN.

Cell: 4.0676 4.0676 5.1500 Å, 90.00 90.00 90.00°
Last column: nearest neighbours and their distance in Å.
Space group P4/mmm (No. 123)
Symmetry-distinct sites (fractional):
Ca1 0.0000 0.0000 0.0000 [1 per cell]  4 Hg 2.88
Nb1 0.0000 0.5000 0.5000 [2 per cell]  2 H 2.03
Hg1 0.5000 0.5000 0.0000 [1 per cell]  2 H 2.58, 4 Ca 2.88
H1 0.5000 0.5000 0.5000 [1 per cell]  4 Nb 2.03


Record 2
Here is CaH12I2O12 at its PBEsol-relaxed geometry from Alexandria. Energies are from SCAN.

Cell: 14.5425 22.4919 6.1214 Å, 90.00 90.00 90.00°
Last column: nearest neighbours and their distance in Å.
Space group Fdd2 (No. 43)
Symmetry-distinct sites (fractional):
Ca1 0.0000 0.0000 0.0000 [8 per cell]  8 O 2.43-2.50
H1 0.0281 0.1249 0.7992 [16 per cell]  1 O 1.02
H2 0.0489 0.2782 0.2367 [16 per cell]  1 O 1.00
H3 0.0662 0.4590 0.0545 [16 per cell]  1 O 1.00
H4 0.0748 0.2755 0.4877 [16 per cell]  1 O 1.01
H5 0.1236 0.1022 0.8982 [16 per cell]  1 O 1.01
H6 0.1243 0.2640 0.8667 [16 per cell]  1 O 1.00
I1 0.0201 0.1416 0.3170 [16 per cell]  3 O 1.82-1.86
O1 0.0151 0.3420 0.1021 [16 per cell]  3 H 1.55-1.73
O2 0.0264 0.4337 0.8129 [16 per cell]  1 H 1.69, 1 I 1.82
O3 0.0552 0.1017 0.9273 [16 per cell]  2 H 1.01-1.02
O4 0.0802 0.3214 0.6934 [16 per cell]  2 H 1.63-1.79
O5 0.0826 0.2532 0.3454 [16 per cell]  2 H 1.00-1.01
O6 0.0956 0.4787 0.1842 [16 per cell]  2 H 1.00


Number 1: size of the total moment 0.000 μB per formula unit, calculated total energy -29.346 eV per atom. Number 2: size of the total moment 0.063 μB per formula unit, calculated total energy -8.482 eV per atom.